Material: NaBeBr2
Method: DFT, meta-GGA SCAN
State: single point on PBEsol structure

Results
The value obtained for the formation energy from raw total energies is -0.533 eV per atom.

Cell: 5.9981 5.9981 7.7100 Å, 112.89 112.89 90.00°
Positions (direct):
Br  0.7969  0.3750  0.2500
Br  0.6250  0.5469  0.7500
Na  0.2500  0.7500  0.5000
Br  0.4531  0.8750  0.2500
Be  0.5000  0.5000  0.0000
Na  0.0000  0.0000  0.0000
Be  0.7500  0.2500  0.5000
Br  0.1250  0.2031  0.7500

***

Material: BeW2Se
Method: DFT, meta-GGA SCAN
State: single point on PBEsol structure

Results
The value obtained for the formation energy from raw total energies is 0.660 eV per atom.

Cell: 3.1114 4.4828 4.9281 Å, 117.05 108.40 90.00°
Positions (direct):
Se  0.0000  0.5000  0.0000
W  0.7639  0.7639  0.5278
Be  0.5000  0.0000  0.0000
W  0.2361  0.2361  0.4722

***

Material: Tc2C
Method: DFT, meta-GGA SCAN
State: single point on PBEsol structure

Results
The formation energy comes out at 1.004 eV/atom.

Cell: 2.7905 4.0287 4.0287 Å, 59.41 69.74 69.74°
Positions (direct):
C  0.0000  0.0000  0.0000
Tc  0.3184  0.6816  0.6816
Tc  0.6816  0.3184  0.3184

***

Material: YTaOs2
Method: DFT, meta-GGA SCAN
State: single point on PBEsol structure

Results
The formation energy comes out at -0.440 eV/atom.

Cell: 3.1911 3.1911 6.8264 Å, 90.00 90.00 90.00°
Positions (direct):
Ta  0.5000  0.5000  0.0000
Os  0.0000  0.0000  0.2200
Os  0.0000  0.0000  0.7800
Y  0.5000  0.5000  0.5000

***

Material: BeTlP2
Method: DFT, meta-GGA SCAN
State: single point on PBEsol structure

Results
The formation energy comes out at 0.789 eV/atom.

Cell: 3.9491 4.5678 4.5678 Å, 117.72 90.00 90.00°
Positions (direct):
Tl  0.5000  0.0000  0.0000
P  0.0000  0.5000  0.0000
Be  0.5000  0.5000  0.5000
P  0.0000  0.0000  0.5000

***

Material: Re5Sb
Method: DFT, meta-GGA SCAN
State: single point on PBEsol structure

Results
The value obtained for the formation energy from raw total energies is 0.287 eV per atom.

Cell: 2.8777 5.3122 6.5656 Å, 105.85 90.00 105.72°
Positions (direct):
Re  0.3958  0.7917  0.2908
Re  0.6706  0.3411  0.3346
Sb  0.7080  0.4160  0.9352
Re  0.3500  0.7001  0.6588
Re  0.0591  0.1183  0.5986
Re  0.9831  0.9661  0.0152